Record 1
Material: TiTc2As4
Method: DFT, PBE-GGA
State: relaxed

Properties
ρ: 7.2 g/cm³
Calculated formation energy: -348 meV per atom

abc: 6.6340 6.6340 7.1760
angles: 105.86 105.86 113.93
Atoms (fractional coordinates):
Ti 0.2229 0.4649 0.4447
Ti 0.4649 0.2229 0.9447
Tc 0.4708 0.2358 0.5222
Tc 0.7859 0.0554 0.0244
Tc 0.0554 0.7859 0.5244
Tc 0.2358 0.4708 0.0222
As 0.8143 0.3562 0.8562
As 0.3562 0.8143 0.3562
As 0.3118 0.7774 0.8578
As 0.7774 0.3118 0.3578
As 0.1304 0.2012 0.6420
As 0.7285 0.7056 0.1542
As 0.7056 0.7285 0.6542
As 0.2012 0.1304 0.1420

---

Record 2
Material: Al2TlZnFe
Method: DFT, PBE-GGA
State: relaxed

Properties
ρ: 6.0 g/cm³
Calculated formation energy: 318 meV per atom

abc: 4.5660 5.0658 4.5660
angles: 90.00 90.00 90.00
Atoms (fractional coordinates):
Tl 0.0000 0.5000 0.0000
Al 0.0000 0.0000 0.5000
Al 0.5000 0.0000 0.0000
Zn 0.5000 0.5000 0.5000
Fe 0.0000 0.0000 0.0000

---

Record 3
Material: LaCo3Rh
Method: DFT, PBE-GGA
State: relaxed

Properties
ρ: 7.1 g/cm³
Excess energy over the best structure of this formula in the dataset: 0 meV per atom
Calculated formation energy: 496 meV per atom

abc: 4.6108 4.6108 4.6108
angles: 90.00 90.00 90.00
Atoms (fractional coordinates):
Co 0.0000 0.5000 0.0000
Co 0.0000 0.0000 0.5000
Co 0.5000 0.0000 0.0000
Rh 0.0000 0.0000 0.0000
La 0.5000 0.5000 0.5000

---

Record 4
Material: Y3Ho4Er5
Method: DFT, PBE-GGA
State: relaxed

Properties
ρ: 7.9 g/cm³
Excess energy over the best structure of this formula in the dataset: 0 meV per atom
Calculated formation energy: 24 meV per atom

abc: 7.0650 11.1551 12.7167
angles: 151.30 56.31 129.27
Atoms (fractional coordinates):
Y 0.5848 0.1676 0.3332
Y 0.0000 0.0000 0.5000
Y 0.4152 0.8324 0.6668
Ho 0.9165 0.8346 0.6682
Ho 0.8325 0.6648 0.8329
Ho 0.1675 0.3352 0.1671
Ho 0.0835 0.1654 0.3318
Er 0.3323 0.6669 0.8345
Er 0.5000 0.0000 0.5000
Er 0.7498 0.5016 0.0011
Er 0.2502 0.4984 0.9989
Er 0.6677 0.3331 0.1655